No. 1
# PmTlAs2 (PBE, optimized geometry)
data_PmTlAs2
_cell_length_a 4.3226
_cell_length_b 4.3226
_cell_length_c 20.4101
_cell_angle_alpha 90.00
_cell_angle_beta 90.00
_cell_angle_gamma 120.00
_symmetry_space_group_name_H-M 'R -3 m'
_symmetry_Int_Tables_number 166
_symmetry_space_group_name_Hall '-R 3 2"'
loop_
_atom_site_label
_atom_site_fract_x
_atom_site_fract_y
_atom_site_fract_z
Pm1 0.0000 0.0000 0.0000
Tl1 0.0000 0.0000 0.5000
As1 0.0000 0.0000 0.2542
# crystal system: trigonal
# uncorrected energy: -54.60 eV/cell
# Fermi-level density of states: 3.00 states/eV/f.u.
# polymorph energy (0 for the lowest one): 184 meV per atom
# volume: 27.52 Å³/atom

No. 2
# Pm2TlAs (PBE, optimized geometry)
data_Pm2TlAs
_cell_length_a 7.552
_cell_length_b 7.552
_cell_length_c 7.552
_cell_angle_alpha 90.00
_cell_angle_beta 90.00
_cell_angle_gamma 90.00
_symmetry_space_group_name_H-M 'F m -3 m'
_symmetry_Int_Tables_number 225
_symmetry_space_group_name_Hall '-F 4 2 3'
loop_
_atom_site_label
_atom_site_fract_x
_atom_site_fract_y
_atom_site_fract_z
Pm1 0.250 0.250 0.250
Tl1 0.000 0.000 0.000
As1 0.000 0.000 0.500
# crystal system: cubic
# uncorrected energy: -75.14 eV/cell
# Fermi-level density of states: 4.49 states/eV/f.u.
# polymorph energy (0 for the lowest one): 346 meV per atom
# volume: 26.92 Å³/atom

No. 3
# PmTmAs (PBE, optimized geometry)
data_PmTmAs
_cell_length_a 3.769
_cell_length_b 22.557
_cell_length_c 3.750
_cell_angle_alpha 90.00
_cell_angle_beta 90.00
_cell_angle_gamma 90.00
_symmetry_space_group_name_H-M 'C m c m'
_symmetry_Int_Tables_number 63
_symmetry_space_group_name_Hall '-C 2c 2'
loop_
_atom_site_label
_atom_site_fract_x
_atom_site_fract_y
_atom_site_fract_z
Pm1 0.000 0.068 0.250
Tm1 0.000 0.206 0.250
As1 0.000 0.350 0.250
# crystal system: orthorhombic
# uncorrected energy: -63.73 eV/cell
# Fermi-level density of states: 2.94 states/eV/f.u.
# polymorph energy (0 for the lowest one): 142 meV per atom
# volume: 26.57 Å³/atom

No. 4
# Pm3TmAs4 (PBE, optimized geometry)
data_Pm3TmAs4
_cell_length_a 8.390
_cell_length_b 11.866
_cell_length_c 4.200
_cell_angle_alpha 90.00
_cell_angle_beta 90.00
_cell_angle_gamma 90.00
_symmetry_space_group_name_H-M 'C m m m'
_symmetry_Int_Tables_number 65
_symmetry_space_group_name_Hall '-C 2 2'
loop_
_atom_site_label
_atom_site_fract_x
_atom_site_fract_y
_atom_site_fract_z
Pm1 0.000 0.000 0.000
Pm2 0.250 0.250 0.500
Tm1 0.000 0.500 0.000
As1 0.000 0.254 0.000
As2 0.243 0.500 0.500
# crystal system: orthorhombic
# uncorrected energy: -98.84 eV/cell
# Fermi-level density of states: 0.73 states/eV/f.u.
# polymorph energy (0 for the lowest one): 0 meV per atom
# volume: 26.13 Å³/atom

No. 5
# Pm2TmAs (PBE, optimized geometry)
data_Pm2TmAs
_cell_length_a 3.9507
_cell_length_b 3.9507
_cell_length_c 28.3821
_cell_angle_alpha 90.00
_cell_angle_beta 90.00
_cell_angle_gamma 120.00
_symmetry_space_group_name_H-M 'R -3 m'
_symmetry_Int_Tables_number 166
_symmetry_space_group_name_Hall '-R 3 2"'
loop_
_atom_site_label
_atom_site_fract_x
_atom_site_fract_y
_atom_site_fract_z
Pm1 0.0000 0.0000 0.2296
Tm1 0.0000 0.0000 0.0000
As1 0.0000 0.0000 0.5000
# crystal system: trigonal
# uncorrected energy: -62.45 eV/cell
# Fermi-level density of states: 5.05 states/eV/f.u.
# polymorph energy (0 for the lowest one): 0 meV per atom
# volume: 31.97 Å³/atom

No. 6
# PmTm2As (PBE, optimized geometry)
data_PmTm2As
_cell_length_a 3.8125
_cell_length_b 3.8125
_cell_length_c 28.2205
_cell_angle_alpha 90.00
_cell_angle_beta 90.00
_cell_angle_gamma 120.00
_symmetry_space_group_name_H-M 'R -3 m'
_symmetry_Int_Tables_number 166
_symmetry_space_group_name_Hall '-R 3 2"'
loop_
_atom_site_label
_atom_site_fract_x
_atom_site_fract_y
_atom_site_fract_z
Pm1 0.0000 0.0000 0.0000
Tm1 0.0000 0.0000 0.2275
As1 0.0000 0.0000 0.5000
# crystal system: trigonal
# uncorrected energy: -62.20 eV/cell
# Fermi-level density of states: 3.80 states/eV/f.u.
# volume: 29.60 Å³/atom

No. 7
# Pm2TmAs (PBE, optimized geometry)
data_Pm2TmAs
_cell_length_a 3.838
_cell_length_b 3.838
_cell_length_c 7.670
_cell_angle_alpha 90.00
_cell_angle_beta 90.00
_cell_angle_gamma 90.00
_symmetry_space_group_name_H-M 'P 4/m m m'
_symmetry_Int_Tables_number 123
_symmetry_space_group_name_Hall '-P 4 2'
loop_
_atom_site_label
_atom_site_fract_x
_atom_site_fract_y
_atom_site_fract_z
Pm1 0.000 0.000 0.207
Tm1 0.500 0.500 0.500
As1 0.500 0.500 0.000
# crystal system: tetragonal
# uncorrected energy: -20.71 eV/cell
# Fermi-level density of states: 5.27 states/eV/f.u.
# polymorph energy (0 for the lowest one): 26 meV per atom
# volume: 28.25 Å³/atom

No. 8
# Pm5Tm3As8 (PBE, optimized geometry)
data_Pm5Tm3As8
_cell_length_a 8.3505
_cell_length_b 8.3505
_cell_length_c 20.4367
_cell_angle_alpha 90.00
_cell_angle_beta 90.00
_cell_angle_gamma 120.00
_symmetry_space_group_name_H-M 'R -3 m'
_symmetry_Int_Tables_number 166
_symmetry_space_group_name_Hall '-R 3 2"'
loop_
_atom_site_label
_atom_site_fract_x
_atom_site_fract_y
_atom_site_fract_z
Pm1 0.0000 0.0000 0.0000
Pm2 0.0000 0.0000 0.5000
Pm3 0.0000 0.5000 0.0000
Tm1 0.0000 0.5000 0.5000
As1 0.0000 0.0000 0.2464
As2 0.0048 0.5024 0.7524
# crystal system: trigonal
# uncorrected energy: -295.51 eV/cell
# Fermi-level density of states: 2.20 states/eV/f.u.
# volume: 25.71 Å³/atom